1.
Here is a relaxed structure of NpBH2O6 from the Alexandria database. Energies are from GGA-PBE.

M_tot = 0.0 Bohr magnetons per cell
E = -7.432 eV/atom
Symmetry = No. 14

a = 5.136 Å, b = 5.238 Å, c = 9.288 Å
α = 90.00°, β = 91.75°, γ = 90.00°
Atoms (fractional coordinates):
1 B 0.500 0.000 0.500
2 B 0.000 0.500 0.000
3 O 0.204 0.685 0.663
4 O 0.704 0.815 0.163
5 O 0.824 0.336 0.025
6 O 0.296 0.185 0.837
7 O 0.796 0.315 0.337
8 O 0.179 0.659 0.365
9 O 0.321 0.159 0.135
10 O 0.821 0.341 0.635
11 O 0.324 0.164 0.525
12 O 0.676 0.836 0.475
13 O 0.679 0.841 0.865
14 O 0.176 0.664 0.975
15 Np 0.500 0.000 0.000
16 Np 0.000 0.500 0.500
17 H 0.321 0.149 0.733
18 H 0.179 0.649 0.767
19 H 0.821 0.351 0.233
20 H 0.679 0.851 0.267



2.
Here is a relaxed structure of Np2BHRh6 from the Alexandria database. Energies are from GGA-PBE.

M_tot = 4.7 Bohr magnetons per cell
E = -8.434 eV/atom
Symmetry = No. 139

a = 5.860 Å, b = 5.861 Å, c = 5.871 Å
α = 60.03°, β = 60.04°, γ = 90.02°
Site moments in Bohr magnetons follow the coordinates.
Atoms (fractional coordinates):
1 Rh 0.246 0.754 0.000  -0.30
2 Rh 0.754 0.754 0.000  -0.29
3 Rh 0.246 0.246 0.000  -0.29
4 Rh 0.246 0.246 0.508  -0.31
5 Rh 0.754 0.246 0.000  -0.30
6 Rh 0.754 0.754 0.492  -0.31
7 Np 0.250 0.750 0.500  3.16
8 Np 0.750 0.250 0.500  3.16
9 B 0.500 0.500 0.000  0.01
10 H 0.000 0.000 0.000  0.00



Copy entry 1 word for word.
Here is a relaxed structure of NpBH2O6 from the Alexandria database. Energies are from GGA-PBE.

M_tot = 0.0 Bohr magnetons per cell
E = -7.432 eV/atom
Symmetry = No. 14

a = 5.136 Å, b = 5.238 Å, c = 9.288 Å
α = 90.00°, β = 91.75°, γ = 90.00°
Atoms (fractional coordinates):
1 B 0.500 0.000 0.500
2 B 0.000 0.500 0.000
3 O 0.204 0.685 0.663
4 O 0.704 0.815 0.163
5 O 0.824 0.336 0.025
6 O 0.296 0.185 0.837
7 O 0.796 0.315 0.337
8 O 0.179 0.659 0.365
9 O 0.321 0.159 0.135
10 O 0.821 0.341 0.635
11 O 0.324 0.164 0.525
12 O 0.676 0.836 0.475
13 O 0.679 0.841 0.865
14 O 0.176 0.664 0.975
15 Np 0.500 0.000 0.000
16 Np 0.000 0.500 0.500
17 H 0.321 0.149 0.733
18 H 0.179 0.649 0.767
19 H 0.821 0.351 0.233
20 H 0.679 0.851 0.267



Which of these has the highest E? NpBH2O6



Number 1 is which compound? NpBH2O6



Look up the M_tot of the second one. 4.7 Bohr magnetons per cell